The following is a DFT calculation (PBE) of an optimized crystal structure of Nb3InBi.

**Space-group type**: Pm-3m (221)
**E**: -5.770 eV/atom
**Crystal system**: cubic
**Relative energy among the computed polymorphs**: 0.0 meV per atom
**Total moment**: 0.010 μB per cell
**Formation enthalpy at 0 K**: 1.596 eV per atom

Cell: 5.076 5.076 5.076 Å, 90.00 90.00 90.00°
Element x y z (fractional)
Nb  0.000  0.500  0.000
Nb  0.000  0.000  0.500
Nb  0.500  0.000  0.000
Bi  0.500  0.500  0.500
In  0.000  0.000  0.000


The following is a DFT calculation (PBE) of an optimized crystal structure of Nb2InBi.

**Space-group type**: I-42d (122)
**E**: -6.149 eV/atom
**Crystal system**: tetragonal
**Relative energy among the computed polymorphs**: 175.5 meV per atom
**Total moment**: 0.000 μB per cell
**Formation enthalpy at 0 K**: 0.541 eV per atom

Cell: 4.217 4.217 10.847 Å, 78.79 78.79 90.00°
Element x y z (fractional)
Nb  0.599  0.125  0.250
Nb  0.151  0.625  0.250
Nb  0.375  0.401  0.750
Nb  0.875  0.849  0.750
Bi  0.000  0.000  0.000
Bi  0.750  0.250  0.500
In  0.500  0.500  0.000
In  0.250  0.750  0.500